# 1
Entry from Alexandria via LeMat-Bulk: Sm6Ho4Pu after structural relaxation (PBE).

Output
As for the total moment: 6.090 μB per formula unit. The symmetry is Cmcm, No. 63.

abc: 11.767 11.767 17.529
angles: 90.00 90.00 162.65
Positions (direct):
1 Sm 0.000 0.000 0.000
2 Sm 0.000 0.000 0.500
3 Sm 0.249 0.751 0.750
4 Sm 0.258 0.742 0.083
5 Sm 0.258 0.742 0.417
6 Sm 0.487 0.513 0.662
7 Sm 0.487 0.513 0.838
8 Sm 0.513 0.487 0.162
9 Sm 0.513 0.487 0.338
10 Sm 0.742 0.258 0.583
11 Sm 0.742 0.258 0.917
12 Sm 0.751 0.249 0.250
13 Ho 0.117 0.883 0.640
14 Ho 0.117 0.883 0.860
15 Ho 0.371 0.629 0.546
16 Ho 0.371 0.629 0.954
17 Ho 0.629 0.371 0.046
18 Ho 0.629 0.371 0.454
19 Ho 0.883 0.117 0.140
20 Ho 0.883 0.117 0.360
21 Pu 0.127 0.873 0.250
22 Pu 0.873 0.127 0.750

# 2
Entry from Alexandria via LeMat-Bulk: Na4Dy3VSe8 after structural relaxation (PBE).

Output
As for the total moment: 2.000 μB per formula unit. For the uncorrected formation energy, the calculation gives -1.46 eV/atom. The symmetry is R-3m, No. 166.

abc: 8.428 8.428 8.428
angles: 57.48 57.48 57.48
Positions (direct):
1 Na 0.000 0.000 0.000
2 Na 0.000 0.500 0.500
3 Na 0.500 0.000 0.500
4 Na 0.500 0.500 0.000
5 Dy 0.000 0.000 0.500
6 Dy 0.000 0.500 0.000
7 Dy 0.500 0.000 0.000
8 V 0.500 0.500 0.500
9 Se 0.244 0.244 0.244
10 Se 0.261 0.730 0.730
11 Se 0.270 0.270 0.739
12 Se 0.270 0.739 0.270
13 Se 0.730 0.261 0.730
14 Se 0.730 0.730 0.261
15 Se 0.739 0.270 0.270
16 Se 0.756 0.756 0.756

# 3
Entry from Alexandria via LeMat-Bulk: CeRhAu after structural relaxation (PBE).

Output
As for the total moment: 0.000 μB per formula unit. As for the energy above the most stable polymorph in this dataset: 0.131 eV/atom. The symmetry is I4mm, No. 107.

abc: 5.376 5.376 5.376
angles: 140.69 140.69 56.81
Positions (direct):
1 Ce 0.000 0.000 0.000
2 Rh 0.363 0.363 0.000
3 Au 0.686 0.686 0.000

# 4
Entry from Alexandria via LeMat-Bulk: TbThPSe after structural relaxation (PBE).

Output
As for the total moment: 0.000 μB per formula unit. For the uncorrected formation energy, the calculation gives -1.63 eV/atom. The symmetry is R3m, No. 160.

abc: 7.532 7.532 7.532
angles: 31.04 31.04 31.04
Positions (direct):
1 Tb 0.000 0.000 0.000
2 Th 0.813 0.813 0.813
3 P 0.405 0.405 0.405
4 Se 0.241 0.241 0.241

# 5
Entry from Alexandria via LeMat-Bulk: Na2BiAs2 after structural relaxation (PBE).

Output
As for the total moment: 0.000 μB per formula unit. As for the energy above the most stable polymorph in this dataset: 0.194 eV/atom. The symmetry is I4/mmm, No. 139.

abc: 6.765 6.765 6.765
angles: 139.92 139.92 57.97
Positions (direct):
1 Na 0.250 0.750 0.500
2 Na 0.750 0.250 0.500
3 Bi 0.000 0.000 0.000
4 As 0.400 0.400 0.000
5 As 0.600 0.600 0.000

# 6
Entry from Alexandria via LeMat-Bulk: TbSmLuTl after structural relaxation (PBE).

Output
As for the total moment: 1.053 μB per formula unit. The symmetry is F-43m, No. 216.

abc: 5.480 5.480 5.480
angles: 60.00 60.00 60.00
Positions (direct):
1 Tb 0.000 0.000 0.000
2 Sm 0.500 0.500 0.500
3 Lu 0.250 0.250 0.250
4 Tl 0.750 0.750 0.750

Number 1: ρ 8.29 Mg/m³, E_tot -118.06 eV per cell. Number 2: ρ 5.26 Mg/m³, E_tot -79.43 eV per cell. Number 3: ρ 11.81 Mg/m³, E_tot -18.23 eV per cell. Number 4: ρ 8.25 Mg/m³, E_tot -27.47 eV per cell. Number 5: ρ 5.28 Mg/m³, E_tot -15.93 eV per cell. Number 6: ρ 9.83 Mg/m³, E_tot -16.46 eV per cell.